1.
The following is a GGA-PBE calculation of crystalline TbMg4Zn2 at its relaxed geometry, from Alexandria via LeMat-Bulk.

POSCAR file:
```
TbMg4Zn2
1.0
4.2968 0.0000 0.0000
0.0000 16.7241 0.0000
0.0000 0.0000 4.2401
Tb Mg Zn
2 8 4
Cartesian
0.0000 0.0000 0.0000 Tb
2.1484 8.3620 0.0000 Tb
0.0000 2.9476 2.1200 Mg
0.0000 5.3803 0.0000 Mg
0.0000 11.3438 0.0000 Mg
0.0000 13.7764 2.1200 Mg
2.1484 2.9818 0.0000 Mg
2.1484 5.4144 2.1200 Mg
2.1484 11.3097 2.1200 Mg
2.1484 13.7423 0.0000 Mg
0.0000 7.1513 2.1200 Zn
0.0000 9.5728 2.1200 Zn
2.1484 1.2108 2.1200 Zn
2.1484 15.5133 2.1200 Zn
```

The value obtained for the polymorph energy (0 for the lowest one) is 0.000 eV/atom. The calculation puts the formation energy at -149 meV per atom. As for the total magnetization: 0.0 μB per cell. For the electronic total energy, the calculation gives -2.086 eV/atom.

2.
The following is a GGA-PBE calculation of crystalline Tb4Mg2Zn at its relaxed geometry, from Alexandria via LeMat-Bulk.

POSCAR file:
```
Tb4Mg2Zn
1.0
2.6157 1.5101 8.4371
-2.6157 1.5101 8.4371
0.0000 -3.0203 8.4371
Tb Mg Zn
4 2 1
Cartesian
0.0000 0.0000 3.1105 Tb
0.0000 0.0000 9.4811 Tb
0.0000 0.0000 15.8301 Tb
0.0000 0.0000 22.2007 Tb
0.0000 0.0000 6.2621 Mg
0.0000 0.0000 19.0491 Mg
0.0000 0.0000 12.6556 Zn
```

The calculation puts the formation energy at 64 meV per atom. As for the total magnetization: 0.0 μB per cell. For the electronic total energy, the calculation gives -3.220 eV/atom.

Q: What is the formula in the first record?
A: TbMg4Zn2

Q: Which value of electronic total energy does entry 1 give?
A: -2.086 eV/atom

Q: What is the formula in the first record?
A: TbMg4Zn2